No. 1
Compound: Ac3Tb2PrSe6
Source: Alexandria
Functional: GGA-PBE
Structure: relaxed

Calculated values
Its space group is C2/m. The value obtained for the energy relative to the elements, uncorrected is -1.824 eV per atom. For the electronic total energy, the calculation gives -69.2 eV/cell. As for the size of the total moment: 0.0 μB/f.u.

a = 7.376 Å, b = 7.376 Å, c = 7.622 Å
α = 99.29°, β = 99.29°, γ = 120.17°
Sites, in units of the cell vectors:
Ac 0.000 0.000 0.000
Ac 0.337 0.663 0.000
Ac 0.663 0.337 0.000
Tb 0.167 0.833 0.500
Tb 0.833 0.167 0.500
Pr 0.500 0.500 0.500
Se 0.081 0.424 0.271
Se 0.232 0.232 0.724
Se 0.424 0.081 0.271
Se 0.576 0.919 0.729
Se 0.768 0.768 0.276
Se 0.919 0.576 0.729

---

No. 2
Compound: MgNi2Cl
Source: Alexandria
Functional: GGA-PBE
Structure: relaxed

Calculated values
Its space group is Pm. Its energy above the most stable polymorph in this dataset is 0.0 meV/atom. The value obtained for the energy relative to the elements, uncorrected is -0.170 eV per atom. For the electronic total energy, the calculation gives -15.7 eV/cell. As for the size of the total moment: 0.9 μB/f.u.

a = 3.131 Å, b = 3.079 Å, c = 6.618 Å
α = 90.00°, β = 103.59°, γ = 90.00°
Sites, in units of the cell vectors:
Mg 0.000 0.000 0.000
Ni 0.373 0.500 0.746
Ni 0.799 0.000 0.595
Cl 0.625 0.500 0.247

---

No. 3
Compound: NbAgPdC2
Source: Alexandria
Functional: GGA-PBE
Structure: relaxed

Calculated values
Its space group is P4/mmm. For the electronic total energy, the calculation gives -28.0 eV/cell. As for the size of the total moment: 0.0 μB/f.u.

a = 4.082 Å, b = 4.082 Å, c = 5.460 Å
α = 90.00°, β = 90.00°, γ = 90.00°
Sites, in units of the cell vectors:
Nb 0.000 0.000 0.000
Ag 0.000 0.000 0.500
Pd 0.500 0.500 0.500
C 0.000 0.500 0.000
C 0.500 0.000 0.000

---

- Which value of electronic total energy does entry 3 give?
  -28.0 eV/cell

---

- Which value of electronic total energy does entry 3 give?
  -28.0 eV/cell